The following is a DFT calculation (PBE-GGA) of crystalline ErThInTc at its relaxed geometry.

Calculated values
volume: 388.7 Å³/cell
density: 10.459 g/cm3
formation enthalpy at 0 K: -0.42 eV per formula unit
DOS at the Fermi energy: 2.1 states/eV/f.u.

a b c (Å): 7.2981 7.2981 7.2981
angles (deg): 90.00 90.00 90.00
Space group F-43m (No. 216)
One atom of each set of equivalent atoms:
Er 0.0000 0.0000 0.0000 (multiplicity 4)
Th 0.0000 0.0000 0.5000 (multiplicity 4)
In 0.2500 0.2500 0.7500 (multiplicity 4)
Tc 0.2500 0.2500 0.2500 (multiplicity 4)